First-principles (PBE) data for Ca2Ga3Ni4Sn after structural relaxation, as listed in Alexandria.

extended XYZ file:
```
10
Lattice="4.2559 0.0000 0.0000 0.0000 4.2559 0.0000 0.0000 0.0000 9.8148" Properties=species:S:1:pos:R:3 pbc="T T T"
Ca 0.0000 2.1280 2.3079
Ca 2.1280 0.0000 7.5069
Ga 0.0000 2.1280 8.6776
Ga 2.1280 0.0000 1.1372
Ga 2.1280 2.1280 4.9074
Ni 0.0000 0.0000 0.0000
Ni 0.0000 2.1280 6.2876
Ni 2.1280 0.0000 3.5272
Ni 2.1280 2.1280 0.0000
Sn 0.0000 0.0000 4.9074
```

Output
Crystal system: tetragonal
E_form: -0.424 eV/atom

---

First-principles (PBE) data for LiDy2Ag6 after structural relaxation, as listed in Alexandria.

extended XYZ file:
```
9
Lattice="6.1782 0.0000 0.0000 -3.0891 5.3505 0.0000 0.0000 0.0000 5.5580" Properties=species:S:1:pos:R:3 pbc="T T T"
Li 0.0000 0.0000 0.0000
Dy 0.0000 3.5670 4.6038
Dy 3.0891 1.7835 0.9542
Ag 0.0000 1.9029 1.7171
Ag -1.4411 4.3990 1.7171
Ag 1.6480 0.9515 3.8409
Ag 1.4411 4.3990 1.7171
Ag 4.5302 0.9515 3.8409
Ag 3.0891 3.4475 3.8409
```

Output
Crystal system: trigonal
ΔE to the lowest computed polymorph: 10.8 meV/atom
E_form: -0.175 eV/atom

---

First-principles (PBE) data for Er2MnTl after structural relaxation, as listed in Alexandria.

extended XYZ file:
```
4
Lattice="3.6125 0.0000 0.0000 0.0000 3.6125 0.0000 0.0000 0.0000 7.4534" Properties=species:S:1:pos:R:3 pbc="T T T"
Er 0.0000 0.0000 1.6938
Er 0.0000 0.0000 5.7597
Mn 1.8062 1.8062 0.0000
Tl 1.8062 1.8062 3.7267
```

Output
Crystal system: tetragonal
ΔE to the lowest computed polymorph: 0.0 meV/atom
E_form: -0.094 eV/atom

---

First-principles (PBE) data for BaBTe2 after structural relaxation, as listed in Alexandria.

extended XYZ file:
```
4
Lattice="0.0000 3.9764 3.9764 3.9764 0.0000 3.9764 3.9764 3.9764 0.0000" Properties=species:S:1:pos:R:3 pbc="T T T"
Ba 0.0000 0.0000 0.0000
B 3.9764 3.9764 3.9764
Te 1.9882 1.9882 1.9882
Te 5.9647 5.9647 5.9647
```

Output
Crystal system: cubic
Formation energy without anion corrections: 0.39 eV per atom
ΔE to the lowest computed polymorph: 633.4 meV/atom

---

Q: Which formula does entry 4 have?
A: BaBTe2